The following is a DFT calculation (PBE+U) of a geometry-optimized Fe3O2F4 structure.

## Properties
**Energy above the most stable polymorph in this dataset**: 128 meV/atom
**Mass density**: 4.3 g/cm3

Lattice parameters (Å, degrees): 4.7511 5.6796 7.8241 85.69 89.25 89.22
Last column: nearest neighbours and their distance in Å.
Sites, in units of the cell vectors:
Fe1 0.0000 0.0000 0.0000  2 O 1.96-1.98, 4 F 2.01-2.08
Fe2 0.0061 0.3380 0.6699  2 O 1.92-2.01, 4 F 1.99-2.06
Fe3 0.0551 0.6697 0.3250  3 O 1.85-1.95
Fe4 0.4638 0.1716 0.3424  2 O 1.89-1.91, 2 F 2.00-2.05
Fe5 0.4977 0.8270 0.6443  1 O 2.02, 5 F 2.04-2.14
Fe6 0.5221 0.5092 0.0035  2 O 2.10-2.12, 4 F 2.11-2.15
O1 0.1931 0.7160 0.0980  3 Fe 1.89-2.10
O2 0.2076 0.3809 0.4420  3 Fe 1.89-2.01
O3 0.2994 0.8764 0.4169  3 Fe 1.85-2.02
O4 0.8264 0.2910 0.8914  3 Fe 1.92-2.12
F1 0.2160 0.0375 0.7666  3 Fe 2.06-2.08
F2 0.3058 0.5321 0.7636  3 Fe 1.99-2.15
F3 0.3072 0.1995 0.1058  3 Fe 2.00-2.14
F4 0.7160 0.1407 0.5540  3 Fe 2.05-2.14
F5 0.7156 0.8116 0.8827  3 Fe 2.01-2.14
F6 0.7241 0.4633 0.2485  3 Fe 2.09-2.16
F7 0.7979 0.9745 0.2281  3 Fe 2.01-2.20
F8 0.8296 0.6365 0.5584  3 Fe 2.02-2.10